# 1
Computed, not measured: crystalline BRuSeBr2 at its relaxed geometry at the PBEsol level of DFT.

a b c (Å): 4.5549 5.1119 5.1119
angles (deg): 90.00 90.00 90.00
Closest atoms and distances in Å follow each position.
Positions (direct):
Ru: 0.0000 0.0000 0.0000  2 Se 2.28
Se: 0.5000 0.0000 0.0000  2 Ru 2.28
Br: 0.0000 0.5000 0.0000  2 Ru 2.56
Br: 0.0000 0.0000 0.5000  2 Ru 2.56
B: 0.5000 0.5000 0.5000  8 Br 3.42, 4 Se 3.61

## Properties
Crystal system: tetragonal
Formation energy without anion corrections (kJ/mol of formula units): 526

# 2
Computed, not measured: crystalline SrTi2Fe at its relaxed geometry at the PBEsol level of DFT.

a b c (Å): 4.6447 4.6447 4.6447
angles (deg): 60.00 60.00 60.00
Closest atoms and distances in Å follow each position.
Positions (direct):
Fe: 0.0000 0.0000 0.0000  8 Ti 2.84
Sr: 0.5000 0.5000 0.5000  8 Ti 2.84
Ti: 0.7500 0.7500 0.7500  4 Sr 2.84, 4 Fe 2.84
Ti: 0.2500 0.2500 0.2500  4 Fe 2.84, 4 Sr 2.84

## Properties
Crystal system: cubic
Calculated formation energy (meV/atom): 759

# 3
Computed, not measured: crystalline BeCuTeRh2 at its relaxed geometry at the PBEsol level of DFT.

a b c (Å): 4.3170 4.7860 4.7860
angles (deg): 90.00 90.00 90.00
Closest atoms and distances in Å follow each position.
Positions (direct):
Cu: 0.5000 0.5000 0.5000  8 Rh 3.22, 4 Be 3.38
Be: 0.5000 0.0000 0.0000  2 Te 2.16
Rh: 0.0000 0.0000 0.5000  2 Te 2.39
Rh: 0.0000 0.5000 0.0000  2 Te 2.39
Te: 0.0000 0.0000 0.0000  2 Be 2.16, 4 Rh 2.39

## Properties
Crystal system: tetragonal
Formation energy without anion corrections (kJ/mol of formula units): 585

# 4
Computed, not measured: crystalline SbTeW at its relaxed geometry at the PBEsol level of DFT.

a b c (Å): 4.7141 4.7141 4.7141
angles (deg): 60.00 60.00 60.00
Closest atoms and distances in Å follow each position.
Positions (direct):
Sb: 0.2500 0.2500 0.2500  4 Te 2.89, 4 W 2.89
Te: 0.0000 0.0000 0.0000  4 Sb 2.89
W: 0.5000 0.5000 0.5000  4 Sb 2.89

## Properties
Crystal system: cubic
Formation energy without anion corrections (kJ/mol of formula units): 405

# 5
Computed, not measured: crystalline IrSe2 at its relaxed geometry at the PBEsol level of DFT.

a b c (Å): 3.7710 6.0368 10.4895
angles (deg): 90.00 90.00 90.00
Closest atoms and distances in Å follow each position.
Positions (direct):
Se: 0.2500 0.0059 0.7273  3 Ir 2.46
Se: 0.7500 0.9941 0.2727  3 Ir 2.46
Se: 0.2500 0.7204 0.5063  3 Ir 2.47-2.51
Se: 0.7500 0.2204 0.9937  3 Ir 2.47-2.51
Se: 0.7500 0.5059 0.7727  3 Ir 2.46
Se: 0.2500 0.7796 0.0063  3 Ir 2.47-2.51
Se: 0.2500 0.4941 0.2273  3 Ir 2.46
Se: 0.7500 0.2796 0.4937  3 Ir 2.47-2.51
Ir: 0.7500 0.8834 0.8606  6 Se 2.46-2.51
Ir: 0.7500 0.6166 0.3606  6 Se 2.46-2.51
Ir: 0.2500 0.1166 0.1394  6 Se 2.46-2.51
Ir: 0.2500 0.3834 0.6394  6 Se 2.46-2.51

## Properties
Crystal system: orthorhombic
Formation energy without anion corrections (kJ/mol of formula units): -90

# 6
Computed, not measured: crystalline MnTcMo2 at its relaxed geometry at the PBEsol level of DFT.

a b c (Å): 2.6315 4.2791 5.0686
angles (deg): 90.00 99.95 90.00
Closest atoms and distances in Å follow each position.
Positions (direct):
Mo: 0.7428 0.0000 0.7457  4 Mo 2.60-2.70, 2 Mn 2.62, 2 Tc 2.63
Mo: 0.2572 0.0000 0.2543  4 Mo 2.60-2.70, 2 Mn 2.62, 2 Tc 2.63
Tc: 0.5000 0.5000 0.0000  2 Tc 2.63, 4 Mo 2.63, 2 Mn 2.65
Mn: 0.0000 0.5000 0.5000  4 Mo 2.62, 2 Mn 2.63, 2 Tc 2.65

## Properties
Crystal system: monoclinic
Calculated formation energy (meV/atom): 123

# 7
Computed, not measured: crystalline Cu at its relaxed geometry at the PBEsol level of DFT.

a b c (Å): 2.5154 2.5154 2.5154
angles (deg): 60.00 60.00 60.00
Closest atoms and distances in Å follow each position.
Positions (direct):
Cu: 0.0000 0.0000 0.0000  12 Cu 2.52

## Properties
Crystal system: cubic
Calculated formation energy (meV/atom): 0

# 8
Computed, not measured: crystalline Hf3TiP at its relaxed geometry at the PBEsol level of DFT.

a b c (Å): 4.7607 4.7607 4.7607
angles (deg): 90.00 90.00 90.00
Closest atoms and distances in Å follow each position.
Positions (direct):
P: 0.0000 0.0000 0.0000  6 Hf 2.38
Ti: 0.5000 0.5000 0.5000  12 Hf 3.37
Hf: 0.0000 0.0000 0.5000  2 P 2.38
Hf: 0.5000 0.0000 0.0000  2 P 2.38
Hf: 0.0000 0.5000 0.0000  2 P 2.38

## Properties
Crystal system: cubic
Calculated formation energy (meV/atom): -88

Ρ list, top to bottom, in g cm⁻³: 4.9, 5.6, 6.8, 9.7, 9.7, 10.2, 9.4, 9.5
VASP energy list, top to bottom, in eV/atom: -3.865, -6.104, -4.415, -5.898, -6.151, -11.018, -4.334, -9.213